Record 1
Computed, not measured: a relaxed structure of Er2PdPt3 at the PBE level of DFT.

Structure (extended XYZ):
```
24
Lattice="0.000 8.110 4.859 5.689 0.000 4.859 5.689 8.110 0.000" Properties=species:S:1:pos:R:3 pbc="T T T"
Er 9.980 6.842 4.859
Er 4.243 2.787 2.430
Er 1.446 5.322 2.430
Er 7.133 9.471 4.920
Er 9.978 10.803 7.349
Er 4.245 6.748 4.920
Er 1.398 9.377 4.859
Er 7.089 13.526 7.349
Pd 7.108 6.712 4.927
Pd 4.270 9.508 4.927
Pd 9.952 13.562 7.356
Pd 7.114 10.767 7.356
Pt 8.544 8.100 2.465
Pt 4.269 5.570 2.420
Pt 9.954 9.624 4.849
Pt 5.700 4.064 4.895
Pt 5.689 8.110 2.552
Pt 1.420 2.540 2.420
Pt 2.834 8.119 2.465
Pt 8.533 12.164 4.981
Pt 5.689 8.110 7.273
Pt 5.678 12.155 4.895
Pt 1.424 6.595 4.849
Pt 8.533 12.164 9.702
```

## Properties
As for the crystal system: orthorhombic. For the volume, the calculation gives 112.1 Å³/f.u. For the spin magnetization, the calculation gives 0.00 μB per formula unit. For the formation energy, the calculation gives -101.5 kJ/mol of atoms. The value obtained for the relative energy among the computed polymorphs is 0.000 eV per atom.

Record 2
Computed, not measured: a relaxed structure of ZrSb3Pb at the PBE level of DFT.

Structure (extended XYZ):
```
5
Lattice="5.564 0.000 0.000 0.000 5.564 0.000 0.000 0.000 5.564" Properties=species:S:1:pos:R:3 pbc="T T T"
Zr 0.000 0.000 0.000
Sb 0.000 0.000 2.782
Sb 0.000 2.782 0.000
Sb 2.782 0.000 0.000
Pb 2.782 2.782 2.782
```

## Properties
As for the crystal system: cubic. For the volume, the calculation gives 172.2 Å³/f.u. For the spin magnetization, the calculation gives 0.00 μB per formula unit. The value obtained for the relative energy among the computed polymorphs is 0.000 eV per atom.

Record 3
Computed, not measured: a relaxed structure of Li3Pm2MnCu12 at the PBE level of DFT.

Structure (extended XYZ):
```
18
Lattice="2.884 1.665 10.025 -2.884 1.665 10.025 0.000 -3.331 10.025" Properties=species:S:1:pos:R:3 pbc="T T T"
Li -1.442 -0.833 10.025
Li -1.442 0.833 20.050
Li 0.000 1.665 10.025
Pm 0.000 0.000 4.325
Pm 0.000 0.000 25.750
Mn 0.000 0.000 15.038
Cu 0.000 -1.951 8.484
Cu -1.690 0.976 8.484
Cu -1.332 -0.769 13.079
Cu -1.690 -0.976 21.591
Cu 0.000 -1.538 16.996
Cu -1.332 0.769 16.996
Cu 1.332 -0.769 13.079
Cu 0.000 1.538 13.079
Cu 1.690 0.976 8.484
Cu 1.332 0.769 16.996
Cu 1.690 -0.976 21.591
Cu 0.000 1.951 21.591
```

## Properties
As for the crystal system: trigonal. For the volume, the calculation gives 288.9 Å³/f.u. For the spin magnetization, the calculation gives 3.06 μB per formula unit. For the formation energy, the calculation gives 15.3 kJ/mol of atoms.

Q: spin magnetization of number 1 (Er2PdPt3)?
A: 0.00 μB per formula unit

Q: What is the volume in the third record?
A: 288.9 Å³/f.u.

Q: Which formula does entry 3 have?
A: Li3Pm2MnCu12

Q: Number 2 is which compound?
A: ZrSb3Pb